Record 1
Computed, not measured: a geometry-optimized CsLiMgTe2 structure at the PBE-GGA level of DFT.

Calculated values
- spin magnetization (μB/atom) = 0.000
- symmetry = C2/m, No. 12
- raw formation energy (meV per atom) = -1054

abc: 4.6762 7.9190 10.4984
angles: 77.85 77.13 72.83
Fractional positions:
1 Te 0.4619 0.7628 0.3135
2 Li 0.6502 0.6336 0.0661
3 Te 0.8358 0.2570 0.0715
4 Li 0.3498 0.3664 0.9339
5 Mg 0.9711 0.8877 0.1700
6 Cs 0.8314 0.7025 0.6347
7 Cs 0.1686 0.2975 0.3653
8 Mg 0.0289 0.1123 0.8300
9 Te 0.5381 0.2372 0.6865
10 Te 0.1642 0.7430 0.9285


Record 2
Computed, not measured: a geometry-optimized Cs2LiMn structure at the PBE-GGA level of DFT.

Calculated values
- spin magnetization (μB/atom) = 1.052
- ΔE to the lowest computed polymorph (meV/atom) = 0
- symmetry = I-42d, No. 122
- DFT formation energy (eV per atom) = 0.729

abc: 10.3529 10.3529 10.3529
angles: 93.92 93.92 149.67
Fractional positions:
1 Cs 0.1250 0.9579 0.3329
2 Cs 0.6250 0.7921 0.6671
3 Cs 0.0421 0.3750 0.1671
4 Cs 0.2079 0.8750 0.8329
5 Mn 0.2500 0.7500 0.5000
6 Li 0.7500 0.2500 0.5000
7 Li 0.5000 0.5000 0.0000
8 Mn 0.0000 0.0000 0.0000


Record 3
Computed, not measured: a geometry-optimized Cs2LiMn2 structure at the PBE-GGA level of DFT.

Calculated values
- spin magnetization (μB/atom) = 0.395
- symmetry = I4/mmm, No. 139
- DFT formation energy (eV per atom) = 0.961

abc: 3.3290 3.3290 13.7136
angles: 83.03 83.03 90.00
Fractional positions:
1 Cs 0.3696 0.3696 0.2608
2 Mn 0.2500 0.7500 0.5000
3 Mn 0.7500 0.2500 0.5000
4 Li 0.0000 0.0000 0.0000
5 Cs 0.6304 0.6304 0.7392


Record 4
Computed, not measured: a geometry-optimized Cs2LiMn structure at the PBE-GGA level of DFT.

Calculated values
- spin magnetization (μB/atom) = 1.093
- ΔE to the lowest computed polymorph (meV/atom) = 24
- symmetry = Fm-3m, No. 225
- DFT formation energy (eV per atom) = 0.753

abc: 6.7445 6.7445 6.7445
angles: 60.00 60.00 60.00
Fractional positions:
1 Cs 0.7500 0.7500 0.7500
2 Cs 0.2500 0.2500 0.2500
3 Mn 0.5000 0.5000 0.5000
4 Li 0.0000 0.0000 0.0000


Record 5
Computed, not measured: a geometry-optimized CsLiMn3 structure at the PBE-GGA level of DFT.

Calculated values
- spin magnetization (μB/atom) = 2.651
- symmetry = Pm-3m, No. 221
- DFT formation energy (eV per atom) = 2.161

abc: 5.9018 5.9018 5.9018
angles: 90.00 90.00 90.00
Fractional positions:
1 Li 0.5000 0.5000 0.5000
2 Mn 0.0000 0.5000 0.0000
3 Mn 0.5000 0.0000 0.0000
4 Mn 0.0000 0.0000 0.5000
5 Cs 0.0000 0.0000 0.0000


Record 6
Computed, not measured: a geometry-optimized CsLiMnMo2 structure at the PBE-GGA level of DFT.

Calculated values
- spin magnetization (μB/atom) = 0.181
- symmetry = P4/mmm, No. 123
- DFT formation energy (eV per atom) = 2.791

abc: 5.0026 4.9775 5.0026
angles: 90.00 90.00 90.00
Fractional positions:
1 Mn 0.0000 0.5000 0.0000
2 Cs 0.0000 0.0000 0.0000
3 Mo 0.0000 0.0000 0.5000
4 Li 0.5000 0.5000 0.5000
5 Mo 0.5000 0.0000 0.0000


Record 7
Computed, not measured: a geometry-optimized Cs2LiMnN structure at the PBE-GGA level of DFT.

Calculated values
- spin magnetization (μB/atom) = 1.000
- symmetry = P4/mmm, No. 123
- raw formation energy (meV per atom) = 833

abc: 6.4787 3.8027 6.4787
angles: 90.00 90.00 90.00
Fractional positions:
1 Cs 0.0000 0.0000 0.5000
2 Mn 0.5000 0.5000 0.5000
3 N 0.0000 0.5000 0.0000
4 Cs 0.5000 0.0000 0.0000
5 Li 0.0000 0.0000 0.0000